# ZrTl4Ni GGA-PBE relaxed
data_ZrTl4Ni
_chemical_formula_sum 'Zr4 Tl16 Ni4'
_cell_length_a 8.547
_cell_length_b 8.547
_cell_length_c 8.547
_cell_angle_alpha 90.00
_cell_angle_beta 90.00
_cell_angle_gamma 90.00
_symmetry_space_group_name_H-M 'F -4 3 m'
_symmetry_Int_Tables_number 216
_symmetry_space_group_name_Hall 'F -4 2 3'
loop_
_atom_site_label
_atom_site_fract_x
_atom_site_fract_y
_atom_site_fract_z
Zr1 0.000 0.000 0.000
Tl1 0.125 0.125 0.375
Ni1 0.250 0.250 0.750
# * density of states at the Fermi level: 25.82 states/eV/cell
# * energy of formation from the pure elements: 4.72 eV per formula unit